{
  "formula": "RbH3Cl",
  "functional": "PBEsol",
  "state": "optimized geometry",
  "lattice_angstrom": [[-0.900, 4.192, 2.288], [-0.004, -2.329, 4.266], [4.776, 0.788, 0.435]],
  "species": ["H", "H", "H", "Rb", "Cl"],
  "fractional_positions": [[0.500, 0.000, 0.000], [0.000, 0.000, 0.500], [0.000, 0.500, 0.000], [0.000, 0.000, 0.000], [0.500, 0.500, 0.500]],
  "energy_ev_per_cell": -8.3,
  "magmom_total_mub_per_cell": 3.04,
  "vol_a3_per_atom": 22.955
}


{
  "formula": "RbHSCl2",
  "functional": "PBEsol",
  "state": "optimized geometry",
  "lattice_angstrom": [[6.217, 0.000, 0.000], [0.000, 6.217, 0.000], [0.000, 0.000, 6.805]],
  "species": ["Rb", "Cl", "Cl", "H", "S"],
  "fractional_positions": [[0.000, 0.000, 0.000], [0.500, 0.000, 0.000], [0.000, 0.500, 0.000], [0.500, 0.500, 0.500], [0.000, 0.000, 0.500]],
  "energy_ev_per_cell": -9.4,
  "magmom_total_mub_per_cell": 4.07,
  "vol_a3_per_atom": 52.596
}


{
  "formula": "Re3HCl",
  "functional": "PBEsol",
  "state": "optimized geometry",
  "lattice_angstrom": [[3.961, 0.000, 0.000], [0.000, 3.961, 0.000], [0.000, 0.000, 3.961]],
  "species": ["Re", "Re", "Re", "H", "Cl"],
  "fractional_positions": [[0.000, 0.500, 0.000], [0.000, 0.000, 0.500], [0.500, 0.000, 0.000], [0.000, 0.000, 0.000], [0.500, 0.500, 0.500]],
  "energy_ev_per_cell": -38.4,
  "relative_energy_kj_per_mol_fu": 0,
  "magmom_total_mub_per_cell": 0.00,
  "vol_a3_per_atom": 12.425
}


{
  "formula": "HRhCl3",
  "functional": "PBEsol",
  "state": "optimized geometry",
  "lattice_angstrom": [[4.229, 0.000, 0.000], [0.000, 4.229, 0.000], [0.000, 0.000, 4.229]],
  "species": ["Cl", "Cl", "Cl", "H", "Rh"],
  "fractional_positions": [[0.000, 0.000, 0.500], [0.000, 0.500, 0.000], [0.500, 0.000, 0.000], [0.000, 0.000, 0.000], [0.500, 0.500, 0.500]],
  "energy_ev_per_cell": -13.6,
  "magmom_total_mub_per_cell": 2.96,
  "vol_a3_per_atom": 15.130
}


{
  "formula": "HRhW2Cl",
  "functional": "PBEsol",
  "state": "optimized geometry",
  "lattice_angstrom": [[-1.541, -2.626, -0.180], [2.054, -0.906, -4.361], [3.701, -2.325, 2.227]],
  "species": ["H", "Cl", "W", "W", "Rh"],
  "fractional_positions": [[0.500, 0.000, 0.000], [0.500, 0.500, 0.500], [0.000, 0.500, 0.000], [0.000, 0.000, 0.500], [0.000, 0.000, 0.000]],
  "energy_ev_per_cell": -34.0,
  "magmom_total_mub_per_cell": 0.00,
  "vol_a3_per_atom": 14.675
}


{
  "formula": "HRuSCl2",
  "functional": "PBEsol",
  "state": "optimized geometry",
  "lattice_angstrom": [[3.423, 0.000, 0.000], [0.000, 4.634, 0.000], [0.000, 0.000, 4.634]],
  "species": ["Cl", "Cl", "S", "H", "Ru"],
  "fractional_positions": [[0.000, 0.000, 0.500], [0.000, 0.500, 0.000], [0.500, 0.500, 0.500], [0.500, 0.000, 0.000], [0.000, 0.000, 0.000]],
  "energy_ev_per_cell": -19.1,
  "magmom_total_mub_per_cell": 0.00,
  "vol_a3_per_atom": 14.701
}


{
  "formula": "HRuS2Cl",
  "functional": "PBEsol",
  "state": "optimized geometry",
  "lattice_angstrom": [[-3.469, -0.830, 0.314], [-0.039, -1.121, -3.401], [1.383, -5.145, 1.680]],
  "species": ["Cl", "H", "S", "S", "Ru"],
  "fractional_positions": [[0.000, 0.000, 0.500], [0.000, 0.000, 0.000], [0.500, 0.000, 0.000], [0.000, 0.500, 0.000], [0.500, 0.500, 0.500]],
  "energy_ev_per_cell": -19.8,
  "magmom_total_mub_per_cell": 3.01,
  "vol_a3_per_atom": 14.327
}


{
  "formula": "H2RuWCl",
  "functional": "PBEsol",
  "state": "optimized geometry",
  "lattice_angstrom": [[3.434, 0.000, 0.000], [0.000, 3.434, 0.000], [0.000, 0.000, 5.373]],
  "species": ["Ru", "Cl", "W", "H", "H"],
  "fractional_positions": [[0.500, 0.500, 0.500], [0.000, 0.000, 0.000], [0.000, 0.000, 0.500], [0.500, 0.000, 0.000], [0.000, 0.500, 0.000]],
  "energy_ev_per_cell": -26.3,
  "magmom_total_mub_per_cell": 0.00,
  "vol_a3_per_atom": 12.670
}


{
  "formula": "HSCl2",
  "functional": "PBEsol",
  "state": "optimized geometry",
  "lattice_angstrom": [[5.684, 0.000, 0.000], [-2.842, 4.971, 0.200], [0.000, 3.057, 4.792]],
  "species": ["S", "S", "Cl", "Cl", "Cl", "Cl", "H", "H"],
  "fractional_positions": [[0.000, 0.000, 0.000], [0.750, 0.500, 0.750], [0.875, 0.250, 0.523], [0.523, 0.750, 0.375], [0.227, 0.750, 0.875], [0.375, 0.250, 0.227], [0.250, 0.500, 0.250], [0.500, 0.000, 0.500]],
  "energy_ev_per_cell": -17.9,
  "magmom_total_mub_per_cell": 2.43,
  "vol_a3_per_atom": 16.494
}


{
  "formula": "SnHSCl2",
  "functional": "PBEsol",
  "state": "optimized geometry",
  "lattice_angstrom": [[-0.280, -3.075, 1.219], [-0.960, -1.780, -4.708], [5.015, -0.749, -0.739]],
  "species": ["Cl", "Cl", "Sn", "H", "S"],
  "fractional_positions": [[0.000, 0.500, 0.000], [0.000, 0.000, 0.500], [0.500, 0.500, 0.500], [0.000, 0.000, 0.000], [0.500, 0.000, 0.000]],
  "energy_ev_per_cell": -16.0,
  "relative_energy_kj_per_mol_fu": 0,
  "magmom_total_mub_per_cell": 0.41,
  "vol_a3_per_atom": 17.433
}


{
  "formula": "SnHSCl2",
  "functional": "PBEsol",
  "state": "optimized geometry",
  "lattice_angstrom": [[-0.368, -1.288, 4.693], [5.094, 0.210, 0.457], [-0.323, 4.933, 1.329]],
  "species": ["S", "Cl", "Cl", "H", "Sn"],
  "fractional_positions": [[0.500, 0.000, 0.000], [0.000, 0.500, 0.000], [0.000, 0.000, 0.500], [0.500, 0.500, 0.500], [0.000, 0.000, 0.000]],
  "energy_ev_per_cell": -14.9,
  "relative_energy_kj_per_mol_fu": 102,
  "magmom_total_mub_per_cell": 0.56,
  "vol_a3_per_atom": 25.581
}


{
  "formula": "SnHS2Cl",
  "functional": "PBEsol",
  "state": "optimized geometry",
  "lattice_angstrom": [[3.912, 0.000, 0.000], [0.000, 3.912, 0.000], [0.000, 0.000, 5.417]],
  "species": ["H", "S", "S", "Sn", "Cl"],
  "fractional_positions": [[0.000, 0.000, 0.000], [0.000, 0.500, 0.000], [0.500, 0.000, 0.000], [0.500, 0.500, 0.500], [0.000, 0.000, 0.500]],
  "energy_ev_per_cell": -17.8,
  "magmom_total_mub_per_cell": 0.00,
  "vol_a3_per_atom": 16.581
}


{
  "formula": "TeHSCl2",
  "functional": "PBEsol",
  "state": "optimized geometry",
  "lattice_angstrom": [[4.899, 0.000, 0.000], [0.000, 5.257, 0.000], [0.000, 0.000, 5.257]],
  "species": ["Cl", "Cl", "S", "Te", "H"],
  "fractional_positions": [[0.000, 0.000, 0.500], [0.000, 0.500, 0.000], [0.500, 0.000, 0.000], [0.000, 0.000, 0.000], [0.500, 0.500, 0.500]],
  "energy_ev_per_cell": -13.3,
  "magmom_total_mub_per_cell": 1.01,
  "vol_a3_per_atom": 27.074
}


{
  "formula": "HWS2Cl",
  "functional": "PBEsol",
  "state": "optimized geometry",
  "lattice_angstrom": [[-0.508, 2.382, -2.858], [1.044, -2.677, -2.417], [-4.216, -1.324, -0.354]],
  "species": ["S", "S", "H", "Cl", "W"],
  "fractional_positions": [[0.500, 0.000, 0.000], [0.000, 0.500, 0.000], [0.000, 0.000, 0.000], [0.000, 0.000, 0.500], [0.500, 0.500, 0.500]],
  "energy_ev_per_cell": -23.0,
  "magmom_total_mub_per_cell": 1.05,
  "vol_a3_per_atom": 12.503
}


{
  "formula": "ZrHSCl2",
  "functional": "PBEsol",
  "state": "optimized geometry",
  "lattice_angstrom": [[3.368, 0.000, 0.000], [0.000, 4.675, 0.000], [0.000, 0.000, 4.675]],
  "species": ["Zr", "Cl", "Cl", "H", "S"],
  "fractional_positions": [[0.500, 0.500, 0.500], [0.000, 0.000, 0.500], [0.000, 0.500, 0.000], [0.000, 0.000, 0.000], [0.500, 0.000, 0.000]],
  "energy_ev_per_cell": -21.9,
  "magmom_total_mub_per_cell": 0.00,
  "vol_a3_per_atom": 14.719
}


{
  "formula": "ScH2Cl2",
  "functional": "PBEsol",
  "state": "optimized geometry",
  "lattice_angstrom": [[4.524, 0.003, 0.004], [-2.242, 3.929, -0.004], [-2.242, -1.327, 3.698]],
  "species": ["Sc", "H", "H", "Cl", "Cl"],
  "fractional_positions": [[0.000, 0.000, 0.000], [0.000, 0.560, 0.560], [0.000, 0.440, 0.440], [0.500, 0.750, 0.250], [0.500, 0.250, 0.750]],
  "energy_ev_per_cell": -21.7,
  "magmom_total_mub_per_cell": 1.00,
  "vol_a3_per_atom": 13.158
}


{
  "formula": "ScHCl2",
  "functional": "PBEsol",
  "state": "optimized geometry",
  "lattice_angstrom": [[-2.521, 2.384, -0.055], [-2.657, -0.232, 2.220], [2.451, 5.261, 6.196]],
  "species": ["H", "Cl", "Cl", "Sc"],
  "fractional_positions": [[0.000, 0.000, 0.000], [0.896, 0.896, 0.312], [0.104, 0.104, 0.688], [0.500, 0.500, 0.500]],
  "energy_ev_per_cell": -17.4,
  "magmom_total_mub_per_cell": 0.65,
  "vol_a3_per_atom": 21.513
}


{
  "formula": "ScHCl",
  "functional": "PBEsol",
  "state": "optimized geometry",
  "lattice_angstrom": [[3.438, 0.000, 0.000], [1.719, 2.977, 0.000], [1.719, 0.992, 8.831]],
  "species": ["H", "H", "Sc", "Sc", "Cl", "Cl"],
  "fractional_positions": [[0.806, 0.806, 0.583], [0.194, 0.194, 0.417], [0.881, 0.881, 0.357], [0.119, 0.119, 0.643], [0.608, 0.608, 0.177], [0.392, 0.392, 0.823]],
  "energy_ev_per_cell": -32.3,
  "magmom_total_mub_per_cell": 0.00,
  "vol_a3_per_atom": 15.061
}


{
  "formula": "ScH3Cl",
  "functional": "PBEsol",
  "state": "optimized geometry",
  "lattice_angstrom": [[3.722, 0.000, 0.000], [0.000, 3.722, 0.000], [0.000, 0.000, 3.722]],
  "species": ["H", "H", "H", "Sc", "Cl"],
  "fractional_positions": [[0.000, 0.500, 0.000], [0.500, 0.000, 0.000], [0.000, 0.000, 0.500], [0.500, 0.500, 0.500], [0.000, 0.000, 0.000]],
  "energy_ev_per_cell": -14.7,
  "magmom_total_mub_per_cell": 0.00,
  "vol_a3_per_atom": 10.310
}


{
  "formula": "HSe2Cl",
  "functional": "PBEsol",
  "state": "optimized geometry",
  "lattice_angstrom": [[2.849, 0.000, 0.000], [1.424, 2.467, 0.000], [1.424, 0.822, 10.065]],
  "species": ["Se", "Se", "H", "Cl"],
  "fractional_positions": [[0.059, 0.059, 0.822], [0.941, 0.941, 0.178], [0.000, 0.000, 0.000], [0.500, 0.500, 0.500]],
  "energy_ev_per_cell": -11.7,
  "magmom_total_mub_per_cell": 0.00,
  "vol_a3_per_atom": 17.683
}


{
  "formula": "SiH2SeCl",
  "functional": "PBEsol",
  "state": "optimized geometry",
  "lattice_angstrom": [[3.719, 0.000, 0.000], [0.000, 3.719, 0.000], [0.000, 0.000, 5.027]],
  "species": ["H", "H", "Cl", "Si", "Se"],
  "fractional_positions": [[0.000, 0.500, 0.000], [0.500, 0.000, 0.000], [0.500, 0.500, 0.500], [0.000, 0.000, 0.000], [0.000, 0.000, 0.500]],
  "energy_ev_per_cell": -17.0,
  "magmom_total_mub_per_cell": 0.00,
  "vol_a3_per_atom": 13.905
}


{
  "formula": "Si5H8Cl4",
  "functional": "PBEsol",
  "state": "optimized geometry",
  "lattice_angstrom": [[-0.113, 3.737, -5.709], [-6.009, 3.481, -1.682], [1.935, 6.867, 0.378]],
  "species": ["Cl", "Cl", "Cl", "Cl", "Si", "Si", "Si", "Si", "Si", "H", "H", "H", "H", "H", "H", "H", "H"],
  "fractional_positions": [[0.308, 0.000, 0.402], [0.289, 0.402, 0.000], [0.691, 0.598, 0.000], [0.711, 0.000, 0.598], [0.023, 0.635, 0.236], [0.342, 0.764, 0.635], [0.741, 0.236, 0.365], [0.894, 0.365, 0.764], [0.750, 0.500, 0.500], [0.269, 0.871, 0.830], [0.901, 0.830, 0.129], [0.155, 0.331, 0.684], [0.859, 0.170, 0.871], [0.170, 0.669, 0.316], [0.970, 0.129, 0.170], [0.161, 0.684, 0.669], [0.514, 0.316, 0.331]],
  "energy_ev_per_cell": -68.4,
  "magmom_total_mub_per_cell": 0.00,
  "vol_a3_per_atom": 15.818
}


{
  "formula": "SnH2Cl",
  "functional": "PBEsol",
  "state": "optimized geometry",
  "lattice_angstrom": [[4.187, 0.000, 0.000], [2.094, 3.626, 0.000], [2.094, 1.209, 3.419]],
  "species": ["H", "H", "Cl", "Sn"],
  "fractional_positions": [[0.750, 0.750, 0.750], [0.250, 0.250, 0.250], [0.000, 0.000, 0.000], [0.500, 0.500, 0.500]],
  "energy_ev_per_cell": -10.9,
  "magmom_total_mub_per_cell": 0.00,
  "vol_a3_per_atom": 12.978
}


{
  "formula": "YSnH2Cl",
  "functional": "PBEsol",
  "state": "optimized geometry",
  "lattice_angstrom": [[3.830, 0.000, 0.000], [0.000, 3.830, 0.000], [0.000, 0.000, 6.559]],
  "species": ["H", "H", "Sn", "Y", "Cl"],
  "fractional_positions": [[0.500, 0.000, 0.000], [0.000, 0.500, 0.000], [0.000, 0.000, 0.000], [0.500, 0.500, 0.500], [0.000, 0.000, 0.500]],
  "energy_ev_per_cell": -19.7,
  "magmom_total_mub_per_cell": 0.00,
  "vol_a3_per_atom": 19.246
}


{
  "formula": "SrHCl",
  "functional": "PBEsol",
  "state": "optimized geometry",
  "lattice_angstrom": [[4.047, 0.000, 0.000], [0.000, 4.047, 0.000], [0.000, 0.000, 6.873]],
  "species": ["Cl", "Cl", "Sr", "Sr", "H", "H"],
  "fractional_positions": [[0.000, 0.500, 0.351], [0.500, 0.000, 0.649], [0.500, 0.000, 0.204], [0.000, 0.500, 0.796], [0.500, 0.500, 0.000], [0.000, 0.000, 0.000]],
  "energy_ev_per_cell": -23.8,
  "magmom_total_mub_per_cell": 0.00,
  "vol_a3_per_atom": 18.761
}


{
  "formula": "Sr2H2Cl",
  "functional": "PBEsol",
  "state": "optimized geometry",
  "lattice_angstrom": [[-3.143, 1.539, -1.544], [-0.491, -3.140, -2.129], [-1.988, -1.978, 6.812]],
  "species": ["Sr", "Sr", "Cl", "H", "H"],
  "fractional_positions": [[0.351, 0.351, 0.701], [0.649, 0.649, 0.299], [0.000, 0.000, 0.000], [0.750, 0.250, 0.500], [0.250, 0.750, 0.500]],
  "energy_ev_per_cell": -17.0,
  "magmom_total_mub_per_cell": 0.00,
  "vol_a3_per_atom": 20.053
}


{
  "formula": "TaHWCl2",
  "functional": "PBEsol",
  "state": "optimized geometry",
  "lattice_angstrom": [[4.585, 0.000, 0.000], [0.000, 4.585, 0.000], [0.000, 0.000, 5.096]],
  "species": ["W", "Ta", "Cl", "Cl", "H"],
  "fractional_positions": [[0.000, 0.000, 0.000], [0.000, 0.000, 0.500], [0.000, 0.500, 0.000], [0.500, 0.000, 0.000], [0.500, 0.500, 0.500]],
  "energy_ev_per_cell": -27.4,
  "magmom_total_mub_per_cell": 1.32,
  "vol_a3_per_atom": 21.427
}


{
  "formula": "Tc2HCl",
  "functional": "PBEsol",
  "state": "optimized geometry",
  "lattice_angstrom": [[3.962, 0.000, 0.000], [1.981, 3.431, 0.000], [1.981, 1.144, 3.235]],
  "species": ["H", "Tc", "Tc", "Cl"],
  "fractional_positions": [[0.000, 0.000, 0.000], [0.250, 0.250, 0.250], [0.750, 0.750, 0.750], [0.500, 0.500, 0.500]],
  "energy_ev_per_cell": -23.8,
  "magmom_total_mub_per_cell": 0.00,
  "vol_a3_per_atom": 10.990
}